# BeCdAu2 (PBE-GGA, optimized geometry)
# - Offset from the most stable computed form: 0.104 eV/atom
# - Electronic total energy: -22.80 eV/cell
# - Mass density: 12.27 g/cm3
# - Fermi-level density of states: 0.188 states/eV/atom
# - DFT formation energy: -51 meV per atom
data_BeCdAu2
_chemical_formula_sum 'Be2 Cd2 Au4'
_space_group_name_H-M_alt 'C 1 2/m 1'
_space_group_IT_number 12
_cell_length_a 6.5334
_cell_length_b 2.9381
_cell_length_c 7.4170
_cell_angle_alpha 90.00
_cell_angle_beta 101.60
_cell_angle_gamma 90.00
loop_
_space_group_symop_operation_xyz
'x,y,z'
'-x,-y,-z'
'-x,y,-z'
'x,-y,z'
'x+1/2,y+1/2,z'
'-x+1/2,-y+1/2,-z'
'-x+1/2,y+1/2,-z'
'x+1/2,-y+1/2,z'
loop_
_atom_site_label
_atom_site_type_symbol
_atom_site_fract_x
_atom_site_fract_y
_atom_site_fract_z
Be1 Be 0.0000 0.0000 0.0000
Cd1 Cd 0.0000 0.5000 0.5000
Au1 Au 0.2372 0.5000 0.1923

# BaCd10Hg2 (PBE-GGA, optimized geometry)
# - Electronic total energy: -52.91 eV/cell
# - Mass density: 8.58 g/cm3
# - Fermi-level density of states: 0.352 states/eV/atom
# - DFT formation energy: -119 meV per atom
data_BaCd10Hg2
_chemical_formula_sum 'Ba4 Cd40 Hg8'
_space_group_name_H-M_alt 'F m m m'
_space_group_IT_number 69
_space_group_name_Hall '-F 2 2'
_cell_length_a 6.0916
_cell_length_b 14.5026
_cell_length_c 14.5749
_cell_angle_alpha 90.00
_cell_angle_beta 90.00
_cell_angle_gamma 90.00
loop_
_atom_site_label
_atom_site_type_symbol
_atom_site_fract_x
_atom_site_fract_y
_atom_site_fract_z
Ba1 Ba 0.0000 0.0000 0.0000
Cd1 Cd 0.0000 0.1091 0.3905
Cd2 Cd 0.0000 0.1774 0.1800
Cd3 Cd 0.2500 0.0000 0.2500
Hg1 Hg 0.2500 0.2500 0.0000

# CeNd5In6 (PBE-GGA, optimized geometry)
# - Electronic total energy: -103.51 eV/cell
# - Mass density: 7.43 g/cm3
# - Fermi-level density of states: 1.128 states/eV/atom
# - DFT formation energy: -463 meV per atom
data_CeNd5In6
_chemical_formula_sum 'Ce2 Nd10 In12'
_space_group_name_H-M_alt 'I m m m'
_space_group_IT_number 71
_space_group_name_Hall '-I 2 2'
_cell_length_a 5.1162
_cell_length_b 8.8318
_cell_length_c 15.3375
_cell_angle_alpha 90.00
_cell_angle_beta 90.00
_cell_angle_gamma 90.00
loop_
_atom_site_label
_atom_site_type_symbol
_atom_site_fract_x
_atom_site_fract_y
_atom_site_fract_z
Ce1 Ce 0.0000 0.0000 0.0000
Nd1 Nd 0.0000 0.0000 0.3323
Nd2 Nd 0.0000 0.5000 0.0000
Nd3 Nd 0.0000 0.5000 0.3361
In1 In 0.0000 0.2492 0.5000
In2 In 0.0000 0.2504 0.1670

# MnHgBr2 (PBE-GGA, optimized geometry)
# - Offset from the most stable computed form: 0.779 eV/atom
# - Electronic total energy: -47.88 eV/cell
# - Formation energy without anion corrections: 0.21 eV/atom
# - Mass density: 6.85 g/cm3
data_MnHgBr2
_chemical_formula_sum 'Mn4 Hg4 Br8'
_space_group_name_H-M_alt 'F -4 3 m'
_space_group_IT_number 216
_space_group_name_Hall 'F -4 2 3'
_cell_length_a 7.3841
_cell_length_b 7.3841
_cell_length_c 7.3841
_cell_angle_alpha 90.00
_cell_angle_beta 90.00
_cell_angle_gamma 90.00
loop_
_atom_site_label
_atom_site_type_symbol
_atom_site_fract_x
_atom_site_fract_y
_atom_site_fract_z
Mn1 Mn 0.0000 0.0000 0.0000
Hg1 Hg 0.2500 0.2500 0.7500
Br1 Br 0.0000 0.0000 0.5000
Br2 Br 0.2500 0.2500 0.2500